Entry 1:
Density functional theory data (PBE) for a geometry-optimized BSbSeN2 structure.

The density of states at the Fermi level comes out at 3.4 states/eV/f.u. The calculation puts the total magnetization at 0.73 μB/f.u. The formation energy from raw total energies comes out at 45.28 kcal/mol of atoms. The calculation puts the energy above the most stable polymorph in this dataset at 218 kJ/mol of formula units. The calculation puts the total energy at -4.22 eV/atom. Its space group is No. 123.

Geometry as POSCAR:
```
BSbSeN2
1.0
3.9095 0.0000 0.0000
0.0000 3.9095 0.0000
0.0000 0.0000 5.8325
B Sb Se N
1 1 1 2
Cartesian
0.0000 0.0000 0.0000
1.9547 1.9547 2.9162
1.9547 1.9547 0.0000
0.0000 1.9547 2.9162
1.9547 0.0000 2.9162
```



Entry 2:
Density functional theory data (PBE) for a geometry-optimized FeIr3Au structure.

The density of states at the Fermi level comes out at 6.0 states/eV/f.u. The calculation puts the total magnetization at 0.00 μB/f.u. The calculation puts the energy relative to the elements at 1.4416 eV per atom. The calculation puts the energy above the most stable polymorph in this dataset at 0 kJ/mol of formula units. The calculation puts the total energy at -6.22 eV/atom. Its space group is No. 221.

Geometry as POSCAR:
```
FeIr3Au
1.0
4.4523 0.0000 0.0000
0.0000 4.4523 0.0000
0.0000 0.0000 4.4523
Fe Ir Au
1 3 1
Cartesian
0.0000 0.0000 0.0000
0.0000 0.0000 2.2261
0.0000 2.2261 0.0000
2.2261 0.0000 0.0000
2.2261 2.2261 2.2261
```



Entry 3:
Density functional theory data (PBE) for a geometry-optimized Zr2ReCl structure.

The density of states at the Fermi level comes out at 2.8 states/eV/f.u. The calculation puts the total magnetization at 0.00 μB/f.u. The formation energy from raw total energies comes out at 2.86 kcal/mol of atoms. The calculation puts the energy above the most stable polymorph in this dataset at 293 kJ/mol of formula units. The calculation puts the total energy at -7.72 eV/atom. Its space group is No. 225.

Geometry as POSCAR:
```
Zr2ReCl
1.0
0.0000 3.3571 3.3571
3.3571 0.0000 3.3571
3.3571 3.3571 0.0000
Zr Re Cl
2 1 1
Cartesian
1.6786 1.6786 1.6786
5.0357 5.0357 5.0357
0.0000 0.0000 0.0000
3.3571 3.3571 3.3571
```



Entry 4:
Density functional theory data (PBE) for a geometry-optimized CsCoSe3 structure.

The density of states at the Fermi level comes out at 7.9 states/eV/f.u. The calculation puts the total magnetization at 2.28 μB/f.u. The formation energy from raw total energies comes out at -2.88 kcal/mol of atoms. The calculation puts the total energy at -3.81 eV/atom. Its space group is No. 221.

Geometry as POSCAR:
```
CsCoSe3
1.0
4.9863 0.0000 0.0000
0.0000 4.9863 0.0000
0.0000 0.0000 4.9863
Cs Co Se
1 1 3
Cartesian
0.0000 0.0000 0.0000
2.4931 2.4931 2.4931
0.0000 2.4931 2.4931
2.4931 0.0000 2.4931
2.4931 2.4931 0.0000
```



Entry 5:
Density functional theory data (PBE) for a geometry-optimized SiNi2Pb2 structure.

The density of states at the Fermi level comes out at 2.0 states/eV/f.u. The calculation puts the total magnetization at 0.00 μB/f.u. The formation energy from raw total energies comes out at 4.85 kcal/mol of atoms. The calculation puts the total energy at -4.67 eV/atom. Its space group is No. 127.

Geometry as POSCAR:
```
SiNi2Pb2
1.0
6.3849 0.0000 0.0000
0.0000 6.3849 0.0000
0.0000 0.0000 4.6424
Si Ni Pb
2 4 4
Cartesian
0.0000 0.0000 0.0000
3.1924 3.1924 0.0000
1.0092 2.1833 0.0000
2.1833 5.3757 0.0000
4.2016 1.0092 0.0000
5.3757 4.2016 0.0000
1.0942 4.2867 2.3212
2.0982 1.0942 2.3212
4.2867 5.2907 2.3212
5.2907 2.0982 2.3212
```



Entry 6:
Density functional theory data (PBE) for a geometry-optimized Pm5SmHo8 structure.

The density of states at the Fermi level comes out at 20.3 states/eV/f.u. The calculation puts the total magnetization at 0.00 μB/f.u. The calculation puts the energy relative to the elements at 0.2376 eV per atom. The calculation puts the total energy at -4.41 eV/atom. Its space group is No. 82.

Geometry as POSCAR:
```
Pm5SmHo8
1.0
-4.7885 4.7885 5.0705
4.7885 -4.7885 5.0705
4.7885 4.7885 -5.0705
Pm Sm Ho
5 1 8
Cartesian
0.0000 0.0000 0.0000
5.8483 2.7485 -0.7922
2.7485 3.7288 0.7922
-1.0597 2.0400 4.2783
2.0400 1.0597 5.8627
4.7885 0.0000 2.5353
3.1095 3.9595 -2.5631
1.6790 0.8290 2.5074
-0.6828 3.1101 0.9829
5.6175 3.1095 2.5631
0.6828 6.4669 0.9829
1.6784 4.1057 4.0876
-0.8290 1.6790 7.6336
-1.6784 5.4713 4.0876
```



Entry 7:
Density functional theory data (PBE) for a geometry-optimized IrRuCl2 structure.

The density of states at the Fermi level comes out at 4.8 states/eV/f.u. The calculation puts the total magnetization at 1.44 μB/f.u. The formation energy from raw total energies comes out at 27.94 kcal/mol of atoms. The calculation puts the energy above the most stable polymorph in this dataset at 450 kJ/mol of formula units. The calculation puts the total energy at -4.25 eV/atom. Its space group is No. 225.

Geometry as POSCAR:
```
IrRuCl2
1.0
0.0000 3.1315 3.1315
3.1315 0.0000 3.1315
3.1315 3.1315 0.0000
Ir Ru Cl
1 1 2
Cartesian
0.0000 0.0000 0.0000
3.1315 3.1315 3.1315
1.5657 1.5657 1.5657
4.6972 4.6972 4.6972
```



Entry 8:
Density functional theory data (PBE) for a geometry-optimized NaGaP3 structure.

The density of states at the Fermi level comes out at 4.7 states/eV/f.u. The calculation puts the total magnetization at 0.00 μB/f.u. The calculation puts the energy relative to the elements at 1.3321 eV per atom. The calculation puts the energy above the most stable polymorph in this dataset at 347 kJ/mol of formula units. The calculation puts the total energy at -2.78 eV/atom. Its space group is No. 221.

Geometry as POSCAR:
```
NaGaP3
1.0
4.8927 0.0000 0.0000
0.0000 4.8927 0.0000
0.0000 0.0000 4.8927
Na Ga P
1 1 3
Cartesian
0.0000 0.0000 0.0000
2.4464 2.4464 2.4464
0.0000 0.0000 2.4464
0.0000 2.4464 0.0000
2.4464 0.0000 0.0000
```



Entry 9:
Density functional theory data (PBE) for a geometry-optimized ErPt3Rh structure.

The density of states at the Fermi level comes out at 6.8 states/eV/f.u. The calculation puts the total magnetization at 0.00 μB/f.u. The calculation puts the energy relative to the elements at -0.5301 eV per atom. The calculation puts the energy above the most stable polymorph in this dataset at 0 kJ/mol of formula units. The calculation puts the total energy at -6.54 eV/atom. Its space group is No. 59.

Geometry as POSCAR:
```
ErPt3Rh
1.0
4.3622 0.0000 0.0000
0.0000 6.4697 0.0000
0.0000 0.0000 6.3344
Er Pt Rh
2 6 2
Cartesian
1.0906 1.6174 1.5470
3.2717 4.8523 4.7875
1.0906 0.3194 4.7875
1.0906 2.9155 4.7875
1.0906 4.8523 2.8769
3.2717 1.6174 3.4576
3.2717 3.5542 1.5470
3.2717 6.1503 1.5470
1.0906 4.8523 0.3369
3.2717 1.6174 5.9976
```



Entry 10:
Density functional theory data (PBE) for a geometry-optimized Ac2AlZnAu6 structure.

The density of states at the Fermi level comes out at 4.5 states/eV/f.u. The calculation puts the total magnetization at 0.00 μB/f.u. The calculation puts the energy relative to the elements at -0.5764 eV per atom. The calculation puts the total energy at -3.87 eV/atom. Its space group is No. 12.

Geometry as POSCAR:
```
Ac2AlZnAu6
1.0
6.2353 -3.0313 0.0000
6.2353 3.0313 0.0000
-5.5665 0.0000 6.3507
Ac Al Zn Au
2 1 1 6
Cartesian
1.9209 0.0000 1.2913
4.9833 0.0000 5.0594
-2.7832 0.0000 3.1753
6.2353 0.0000 0.0000
2.0766 1.5016 4.7087
-0.3276 0.0000 3.9439
4.8275 1.5016 1.6420
2.0766 -1.5016 4.7087
7.2317 0.0000 2.4068
4.8275 -1.5016 1.6420
```



Entry 11:
Density functional theory data (PBE) for a geometry-optimized TaTcPO2 structure.

The density of states at the Fermi level comes out at 2.0 states/eV/f.u. The calculation puts the total magnetization at 3.78 μB/f.u. The formation energy from raw total energies comes out at -21.59 kcal/mol of atoms. The calculation puts the energy above the most stable polymorph in this dataset at 0 kJ/mol of formula units. The calculation puts the total energy at -8.45 eV/atom. Its space group is No. 123.

Geometry as POSCAR:
```
TaTcPO2
1.0
3.8540 0.0000 0.0000
0.0000 3.8540 0.0000
0.0000 0.0000 5.3661
Ta Tc P O
1 1 1 2
Cartesian
0.0000 0.0000 0.0000
1.9270 1.9270 2.6830
0.0000 0.0000 2.6830
0.0000 1.9270 0.0000
1.9270 0.0000 0.0000
```



Entry 12:
Density functional theory data (PBE) for a geometry-optimized BaNa2InRe structure.

The density of states at the Fermi level comes out at 6.4 states/eV/f.u. The calculation puts the total magnetization at 1.37 μB/f.u. The calculation puts the energy relative to the elements at 1.1233 eV per atom. The calculation puts the total energy at -2.83 eV/atom. Its space group is No. 123.

Geometry as POSCAR:
```
BaNa2InRe
1.0
5.7565 0.0000 0.0000
0.0000 5.7565 0.0000
0.0000 0.0000 5.5870
Ba Na In Re
1 2 1 1
Cartesian
0.0000 0.0000 0.0000
0.0000 2.8782 2.7935
2.8782 0.0000 2.7935
2.8782 2.8782 0.0000
0.0000 0.0000 2.7935
```